Entry 1:
Bi3AsPb12: optimized geometry, PBE.

The structure belongs to space group P2/m (No. 10); the cell edges are 8.7040, 3.4634 and 17.2844 Å and the angles 90.00°, 97.13° and 90.00°. Symmetry generates all atoms from Bi at (0.0000, 0.0000, 0.0000), Bi at (0.4946, 0.0000, 0.7385), As at (0.0000, 0.0000, 0.5000), Pb at (0.0021, 0.5000, 0.2478), Pb at (0.2184, 0.5000, 0.6114), Pb at (0.2299, 0.0000, 0.3844), Pb at (0.2576, 0.0000, 0.8708), Pb at (0.2607, 0.5000, 0.1296), Pb at (0.5000, 0.5000, 0.0000) and Pb at (0.5000, 0.5000, 0.5000).

For the calculated formation energy, the calculation gives 87.5 meV per atom. The total energy comes out at -3.7120 eV/atom. Its density of states at the Fermi level is 0.51 states/eV per atom. The calculation puts the total magnetization at 0.0 μB per formula unit.

Entry 2:
Bi2As3Pb: optimized geometry, PBE.

The structure belongs to space group Immm (No. 71); the cell edges are 4.2737, 6.0097 and 12.7920 Å and the angles 90.00°, 90.00° and 90.00°. Symmetry generates all atoms from Bi at (0.0000, 0.0000, 0.1674), As at (0.0000, 0.5000, 0.1694), As at (0.0000, 0.5000, 0.5000) and Pb at (0.0000, 0.0000, 0.5000).

For the calculated formation energy, the calculation gives 28.8 meV per atom. The total energy comes out at -4.2076 eV/atom. Its density of states at the Fermi level is 0.68 states/eV per atom. The calculation puts the total magnetization at 0.0 μB per formula unit.

Entry 3:
Bi6AsPb12: optimized geometry, PBE.

The structure belongs to space group R-3 (No. 148, hexagonal axes); the cell edges are 13.5301, 13.5301 and 13.8592 Å and the angles 90.00°, 90.00° and 120.00°. Symmetry generates all atoms from Bi at (0.0669, 0.2324, 0.1728), As at (0.0000, 0.0000, 0.5000), Pb at (0.0288, 0.2172, 0.4139) and Pb at (0.0727, 0.2532, 0.9297).

For the calculated formation energy, the calculation gives 100.6 meV per atom. The total energy comes out at -3.7117 eV/atom. Its density of states at the Fermi level is 0.50 states/eV per atom. The calculation puts the total magnetization at 0.0 μB per formula unit.

Entry 4:
BiAs2Pb: optimized geometry, PBE.

The structure belongs to space group R3m (No. 160, hexagonal axes); the cell edges are 4.1820, 4.1820 and 22.1808 Å and the angles 90.00°, 90.00° and 120.00°. Symmetry generates all atoms from Bi at (0.0000, 0.0000, 0.0000), As at (0.0000, 0.0000, 0.4217), As at (0.0000, 0.0000, 0.5927) and Pb at (0.0000, 0.0000, 0.1676).

For the calculated formation energy, the calculation gives 76.6 meV per atom. Its energy relative to the lowest polymorph listed for this composition is 43 meV/atom. The total energy comes out at -4.1455 eV/atom. Its density of states at the Fermi level is 0.64 states/eV per atom. The calculation puts the total magnetization at 0.0 μB per formula unit.